1.
Computed, not measured: a relaxed structure of Na2C2Se at the PBE level of DFT.

Unit cell a=7.997 b=7.997 c=2.779 alpha=90.00 beta=90.00 gamma=90.00
Each line ends with the local moment (μB).
Fractional coordinates of all 10 atoms:
Na 0.737 0.237 0.000  0.00
Na 0.263 0.763 0.000  0.00
Na 0.763 0.737 0.000  0.00
Na 0.237 0.263 0.000  0.00
C 0.057 0.557 0.500  0.03
C 0.443 0.057 0.500  0.04
C 0.557 0.943 0.500  0.04
C 0.943 0.443 0.500  0.03
Se 0.500 0.500 0.000  0.17
Se 0.000 0.000 0.000  0.16

Values from the calculation:
The uncorrected formation energy comes out at 2.864 eV per formula unit.

2.
Computed, not measured: a relaxed structure of LiSmIn2 at the PBE level of DFT.

Unit cell a=4.272 b=4.834 c=4.834 alpha=90.00 beta=90.00 gamma=90.00
Fractional coordinates of all 4 atoms:
In 0.000 0.000 0.500
In 0.000 0.500 0.000
Li 0.500 0.500 0.500
Sm 0.500 0.000 0.000

Values from the calculation:
For the formation enthalpy at 0 K, the calculation gives -0.388 eV per atom.